[1]
ZrFe2TcH, optimized geometry, DFT GGA-PBE; total DFT energy (no corrections) = -39.1 eV/cell; space-group type = P4/mmm, No. 123; DOS at the Fermi energy = 4.9 states/eV/cell
1.0
3.8254 0.0000 0.0000
0.0000 3.8254 0.0000
0.0000 0.0000 4.2028
Zr Fe Tc H
1 2 1 1
direct
0.0000 0.0000 0.0000
0.0000 0.5000 0.5000
0.5000 0.0000 0.5000
0.5000 0.5000 0.0000
0.5000 0.5000 0.5000

[2]
FeTeH, optimized geometry, DFT GGA-PBE; total DFT energy (no corrections) = -14.3 eV/cell; space-group type = Imm2, No. 44; DOS at the Fermi energy = 1.9 states/eV/cell
1.0
-1.5933 1.8310 3.7015
1.5933 -1.8310 3.7015
1.5933 1.8310 -3.7015
Fe Te H
1 1 1
direct
0.0000 0.0000 0.0000
0.7306 0.2306 0.5000
0.0785 0.5785 0.5000

[3]
FeTeH, optimized geometry, DFT GGA-PBE; total DFT energy (no corrections) = -29.5 eV/cell; space-group type = P-1, No. 2; DOS at the Fermi energy = 2.5 states/eV/cell
1.0
3.2378 0.0000 0.0000
0.0026 4.9518 0.0000
1.6056 2.4556 6.2803
Fe Te H
2 2 2
direct
0.9997 0.2474 0.0001
0.0003 0.7526 0.9999
0.3680 0.8674 0.2670
0.6320 0.1326 0.7330
0.0853 0.5859 0.8267
0.9147 0.4141 0.1733

[4]
Fe3TeH, optimized geometry, DFT GGA-PBE; total DFT energy (no corrections) = -23.7 eV/cell; space-group type = Pm-3m, No. 221; DOS at the Fermi energy = 10.7 states/eV/cell
1.0
4.8477 0.0000 0.0000
0.0000 4.8477 0.0000
0.0000 0.0000 4.8477
Fe Te H
3 1 1
direct
0.0000 0.0000 0.5000
0.0000 0.5000 0.0000
0.5000 0.0000 0.0000
0.0000 0.0000 0.0000
0.5000 0.5000 0.5000

[5]
Fe2TeH2, optimized geometry, DFT GGA-PBE; total DFT energy (no corrections) = -25.6 eV/cell; space-group type = I4/mmm, No. 139; DOS at the Fermi energy = 1.9 states/eV/cell
1.0
-1.5746 1.5746 5.2532
1.5746 -1.5746 5.2532
1.5746 1.5746 -5.2532
Fe Te H
2 1 2
direct
0.1698 0.1698 0.0000
0.8302 0.8302 0.0000
0.5000 0.5000 0.0000
0.2500 0.7500 0.5000
0.7500 0.2500 0.5000

[6]
FeTeH, optimized geometry, DFT GGA-PBE; total DFT energy (no corrections) = -14.2 eV/cell; space-group type = I4mm, No. 107; DOS at the Fermi energy = 0.6 states/eV/cell
1.0
-1.7119 1.7119 3.5579
1.7119 -1.7119 3.5579
1.7119 1.7119 -3.5579
Fe Te H
1 1 1
direct
0.0000 0.0000 0.0000
0.6332 0.6332 0.0000
0.2123 0.2123 0.0000

[7]
Fe3TeH, optimized geometry, DFT GGA-PBE; total DFT energy (no corrections) = -30.6 eV/cell; space-group type = Pm-3m, No. 221; DOS at the Fermi energy = 5.1 states/eV/cell
1.0
3.7268 0.0000 0.0000
0.0000 3.7268 0.0000
0.0000 0.0000 3.7268
Fe Te H
3 1 1
direct
0.0000 0.0000 0.5000
0.0000 0.5000 0.0000
0.5000 0.0000 0.0000
0.5000 0.5000 0.5000
0.0000 0.0000 0.0000

[8]
FeTeH, optimized geometry, DFT GGA-PBE; total DFT energy (no corrections) = -14.1 eV/cell; space-group type = Pmm2, No. 25; DOS at the Fermi energy = 3.8 states/eV/cell
1.0
3.2867 0.0000 0.0000
0.0000 3.8347 0.0000
0.0000 0.0000 3.6291
Fe Te H
1 1 1
direct
0.0000 0.0000 0.0000
0.0000 0.5000 0.5002
0.5000 0.0000 0.0024